1.
DFT (PBE) results for a relaxed structure of TbPbAuS3.

Unit cell a=6.909 b=6.909 c=10.434 alpha=90.00 beta=90.00 gamma=146.28
Atoms (fractional coordinates):
Tb  0.000  0.000  0.000
Tb  0.000  0.000  0.500
Pb  0.245  0.755  0.750
Pb  0.755  0.245  0.250
Au  0.459  0.541  0.250
Au  0.541  0.459  0.750
S  0.088  0.912  0.250
S  0.359  0.641  0.051
S  0.359  0.641  0.449
S  0.641  0.359  0.551
S  0.641  0.359  0.949
S  0.912  0.088  0.750

## Properties
**Space group**: Cmcm (63)

=====

2.
DFT (PBE) results for a relaxed structure of AcCdNi.

Unit cell a=6.843 b=6.843 c=6.843 alpha=90.00 beta=90.00 gamma=90.00
Atoms (fractional coordinates):
Ac  0.000  0.000  0.000
Ac  0.000  0.500  0.500
Ac  0.500  0.000  0.500
Ac  0.500  0.500  0.000
Cd  0.000  0.000  0.500
Cd  0.000  0.500  0.000
Cd  0.500  0.000  0.000
Cd  0.500  0.500  0.500
Ni  0.250  0.250  0.250
Ni  0.250  0.750  0.750
Ni  0.750  0.250  0.750
Ni  0.750  0.750  0.250

## Properties
**ΔH_f (0 K)**: -177 meV/atom
**Space group**: F-43m (216)

=====

3.
DFT (PBE) results for a relaxed structure of GdAl2Cu.

Unit cell a=4.227 b=17.989 c=4.049 alpha=90.00 beta=90.00 gamma=90.00
Atoms (fractional coordinates):
Gd  0.000  0.142  0.000
Gd  0.000  0.858  0.000
Gd  0.500  0.358  0.000
Gd  0.500  0.642  0.000
Al  0.000  0.000  0.500
Al  0.000  0.288  0.500
Al  0.000  0.500  0.000
Al  0.000  0.712  0.500
Al  0.500  0.000  0.000
Al  0.500  0.212  0.500
Al  0.500  0.500  0.500
Al  0.500  0.788  0.500
Cu  0.000  0.422  0.500
Cu  0.000  0.578  0.500
Cu  0.500  0.078  0.500
Cu  0.500  0.922  0.500

## Properties
**Space group**: Cmmm (65)

=====

4.
DFT (PBE) results for a relaxed structure of YTlCdO3.

Unit cell a=7.060 b=7.060 c=8.738 alpha=90.00 beta=90.00 gamma=151.19
Atoms (fractional coordinates):
Y  0.000  0.000  0.000
Y  0.000  0.000  0.500
Tl  0.338  0.662  0.750
Tl  0.662  0.338  0.250
Cd  0.333  0.667  0.250
Cd  0.667  0.333  0.750
O  0.048  0.952  0.250
O  0.396  0.604  0.031
O  0.396  0.604  0.469
O  0.604  0.396  0.531
O  0.604  0.396  0.969
O  0.952  0.048  0.750

## Properties
**Space group**: Cmcm (63)

=====

5.
DFT (PBE) results for a relaxed structure of LuTlCdCu.

Unit cell a=6.948 b=6.948 c=6.948 alpha=90.00 beta=90.00 gamma=90.00
Atoms (fractional coordinates):
Lu  0.000  0.000  0.000
Lu  0.000  0.500  0.500
Lu  0.500  0.000  0.500
Lu  0.500  0.500  0.000
Tl  0.250  0.250  0.250
Tl  0.250  0.750  0.750
Tl  0.750  0.250  0.750
Tl  0.750  0.750  0.250
Cd  0.250  0.250  0.750
Cd  0.250  0.750  0.250
Cd  0.750  0.250  0.250
Cd  0.750  0.750  0.750
Cu  0.000  0.000  0.500
Cu  0.000  0.500  0.000
Cu  0.500  0.000  0.000
Cu  0.500  0.500  0.500

## Properties
**Space group**: F-43m (216)

=====

6.
DFT (PBE) results for a relaxed structure of CsKPd.

Unit cell a=8.054 b=8.054 c=8.054 alpha=90.00 beta=90.00 gamma=90.00
Atoms (fractional coordinates):
Cs  0.000  0.000  0.000
Cs  0.000  0.500  0.500
Cs  0.500  0.000  0.500
Cs  0.500  0.500  0.000
K  0.250  0.250  0.750
K  0.250  0.750  0.250
K  0.750  0.250  0.250
K  0.750  0.750  0.750
Pd  0.250  0.250  0.250
Pd  0.250  0.750  0.750
Pd  0.750  0.250  0.750
Pd  0.750  0.750  0.250

## Properties
**Space group**: F-43m (216)

=====

7.
DFT (PBE) results for a relaxed structure of Dy2Ga4PtAu.

Unit cell a=6.240 b=3.806 c=13.391 alpha=90.00 beta=90.00 gamma=90.00
Atoms (fractional coordinates):
Dy  0.000  0.000  0.000
Dy  0.000  0.500  0.500
Dy  0.500  0.000  0.455
Dy  0.500  0.500  0.955
Ga  0.208  0.000  0.635
Ga  0.208  0.500  0.135
Ga  0.273  0.000  0.823
Ga  0.273  0.500  0.323
Ga  0.727  0.000  0.823
Ga  0.727  0.500  0.323
Ga  0.792  0.000  0.635
Ga  0.792  0.500  0.135
Pt  0.000  0.000  0.273
Pt  0.000  0.500  0.773
Au  0.500  0.000  0.159
Au  0.500  0.500  0.659

## Properties
**Space group**: Amm2 (38)

=====

8.
DFT (PBE) results for a relaxed structure of Y4Ta2Bi3C3.

Unit cell a=6.131 b=6.131 c=15.445 alpha=101.59 beta=101.59 gamma=60.31
Atoms (fractional coordinates):
Y  0.043  0.184  0.089
Y  0.123  0.303  0.411
Y  0.184  0.043  0.589
Y  0.303  0.123  0.911
Y  0.697  0.877  0.089
Y  0.816  0.957  0.411
Y  0.877  0.697  0.589
Y  0.957  0.816  0.911
Ta  0.343  0.523  0.069
Ta  0.477  0.657  0.431
Ta  0.523  0.343  0.569
Ta  0.657  0.477  0.931
Bi  0.116  0.884  0.250
Bi  0.273  0.416  0.752
Bi  0.416  0.273  0.252
Bi  0.584  0.727  0.748
Bi  0.727  0.584  0.248
Bi  0.884  0.116  0.750
C  0.000  0.500  0.000
C  0.209  0.646  0.500
C  0.354  0.791  0.000
C  0.500  0.000  0.500
C  0.646  0.209  0.000
C  0.791  0.354  0.500

## Properties
**Space group**: C2/c (15)

=====

9.
DFT (PBE) results for a relaxed structure of BeRe2Au.

Unit cell a=6.140 b=6.140 c=6.140 alpha=90.00 beta=90.00 gamma=90.00
Atoms (fractional coordinates):
Be  0.000  0.000  0.000
Be  0.000  0.500  0.500
Be  0.500  0.000  0.500
Be  0.500  0.500  0.000
Re  0.000  0.000  0.500
Re  0.000  0.500  0.000
Re  0.250  0.250  0.750
Re  0.250  0.750  0.250
Re  0.500  0.000  0.000
Re  0.500  0.500  0.500
Re  0.750  0.250  0.250
Re  0.750  0.750  0.750
Au  0.250  0.250  0.250
Au  0.250  0.750  0.750
Au  0.750  0.250  0.750
Au  0.750  0.750  0.250

## Properties
**Space group**: F-43m (216)

=====

10.
DFT (PBE) results for a relaxed structure of TaAs2Ir2.

Unit cell a=3.930 b=3.930 c=10.917 alpha=90.00 beta=90.00 gamma=90.00
Atoms (fractional coordinates):
Ta  0.250  0.250  0.217
Ta  0.750  0.750  0.783
As  0.250  0.250  0.859
As  0.250  0.750  0.500
As  0.750  0.250  0.500
As  0.750  0.750  0.141
Ir  0.250  0.250  0.646
Ir  0.250  0.750  0.000
Ir  0.750  0.250  0.000
Ir  0.750  0.750  0.354

## Properties
**Space group**: P4/nmm (129)

=====

11.
DFT (PBE) results for a relaxed structure of Zr4InGaC2.

Unit cell a=3.357 b=3.357 c=14.663 alpha=90.00 beta=90.00 gamma=120.00
Atoms (fractional coordinates):
Zr  0.000  0.000  0.156
Zr  0.000  0.000  0.844
Zr  0.333  0.667  0.327
Zr  0.333  0.667  0.673
In  0.000  0.000  0.500
Ga  0.333  0.667  0.000
C  0.667  0.333  0.243
C  0.667  0.333  0.757

## Properties
**Space group**: P-6m2 (187)

=====

12.
DFT (PBE) results for a relaxed structure of Gd2ErIn3Pd2Au.

Unit cell a=3.852 b=7.794 c=7.794 alpha=119.86 beta=90.00 gamma=90.00
Atoms (fractional coordinates):
Gd  0.000  0.203  0.797
Gd  0.000  0.797  0.203
Er  0.000  0.610  0.610
In  0.500  0.205  0.472
In  0.500  0.472  0.205
In  0.500  0.934  0.934
Pd  0.500  0.538  0.867
Pd  0.500  0.867  0.538
Au  0.000  0.204  0.204

## Properties
**Space group**: Amm2 (38)

=====

Values for theoretical density, Mg/m³, ordered as above
7.92 8.25 5.93 7.18 11.00 3.54 10.40 9.34 16.59 14.09 6.65 10.11
Values for VASP energy, Ry per atom, ordered as above
-0.3653 -0.2720 -0.3235 -0.4358 -0.2142 -0.1510 -0.3186 -0.5814 -0.5505 -0.5686 -0.5887 -0.3487